(1)
# ZrScSbO2

A relaxed ZrScSbO2 crystal (PBE, the Alexandria database).

Cell and atoms, written as POSCAR:
```
ZrScSbO2
1.0
4.062 0.000 0.000
0.000 4.062 0.000
0.000 0.000 5.769
Zr Sc Sb O
1 1 1 2
Cartesian
0.000 0.000 0.000
2.031 2.031 2.884
2.031 2.031 0.000
0.000 2.031 2.884
2.031 0.000 2.884
```

Values from the calculation:
- formation energy from raw total energies (eV/atom) = -1.324

***

(2)
# K2CdMo

A relaxed K2CdMo crystal (PBE, the Alexandria database).

Cell and atoms, written as POSCAR:
```
K2CdMo
1.0
6.458 0.000 0.000
0.000 11.098 0.000
-0.012 0.000 3.750
K Cd Mo
4 2 2
Cartesian
1.615 2.774 0.000
1.615 8.323 0.000
4.844 2.774 0.000
4.844 8.323 0.000
-0.006 0.000 1.875
3.223 5.549 1.875
-0.006 5.549 1.875
3.223 0.000 1.875
```

Values from the calculation:
- formation energy (eV/atom) = 1.099